InCoPd2 (PBE, optimized geometry); space-group type = F-43m; energy = -20.41 eV for the cell shown
1.0
0.0000 3.1304 3.1304
3.1304 0.0000 3.1304
3.1304 3.1304 0.0000
Pd In Co
2 1 1
Direct
0.0000 0.0000 0.0000
0.7500 0.7500 0.7500
0.5000 0.5000 0.5000
0.2500 0.2500 0.2500



DyY2Ag4Sn4 (PBE, optimized geometry); space-group type = Immm; energy = -50.33 eV for the cell shown
1.0
0.0624 -8.6770 1.2971
-3.3135 -3.4881 7.3369
-1.1021 4.6558 -7.3542
Ag Dy Sn Y
4 1 4 2
Direct
0.0270 0.3285 0.6985
0.3700 0.6715 0.6985
0.6300 0.3285 0.3015
0.9730 0.6715 0.3015
0.0000 0.0000 0.0000
0.6964 0.5000 0.1964
0.3036 0.5000 0.8036
0.7851 0.7851 0.0000
0.2149 0.2149 0.0000
0.6271 0.1271 0.5000
0.3729 0.8729 0.5000



NaGdSn (PBE, optimized geometry); space-group type = P6_3mc; energy = -22.93 eV for the cell shown
1.0
-1.0191 -2.9237 -4.4408
0.0741 -2.3906 4.8567
-6.2783 1.1690 0.6712
Gd Na Sn
2 2 2
Direct
0.3333 0.6667 0.0040
0.6667 0.3333 0.5040
0.0000 0.0000 0.2572
0.0000 0.0000 0.7572
0.3333 0.6667 0.5047
0.6667 0.3333 0.0047



Tb2SbO4 (PBE, optimized geometry); space-group type = Fd-3m; energy = -101.23 eV for the cell shown
1.0
4.8764 -4.8769 0.0000
-4.8764 0.0000 -4.8769
4.8764 4.8769 0.0000
O Tb Sb
8 4 2
Direct
0.6095 0.7811 0.3906
0.6095 0.2189 0.8284
0.6094 0.2189 0.3905
0.1405 0.2811 0.4216
0.1406 0.2811 0.8595
0.1405 0.7189 0.8594
0.1716 0.7811 0.3905
0.5784 0.7189 0.8595
0.8750 0.2500 0.6250
0.3750 0.7500 0.6250
0.3750 0.7500 0.1250
0.3750 0.2500 0.6250
0.7500 0.5000 0.2500
0.0000 0.0000 0.0000



RbGe2Pt2 (PBE, optimized geometry); space-group type = I4/mmm; energy relative to the lowest polymorph listed for this composition = 23 meV/atom
1.0
-2.1282 2.1282 6.7604
2.1282 -2.1282 6.7604
2.1282 2.1282 -6.7604
Ge Pt Rb
2 2 1
Direct
0.6499 0.6499 0.0000
0.3501 0.3501 0.0000
0.2500 0.7500 0.5000
0.7500 0.2500 0.5000
0.0000 0.0000 0.0000



Cu12Te (PBE, optimized geometry); space-group type = P2_1/m; energy relative to the lowest polymorph listed for this composition = 126 meV/atom
1.0
10.3227 0.0000 0.0000
0.0000 2.6396 0.0000
-0.4610 0.0000 25.5088
Cu Te
24 2
Direct
0.8353 0.7500 0.1088
0.6311 0.2500 0.0927
0.1433 0.7500 0.8062
0.6566 0.7500 0.1768
0.8083 0.2500 0.0257
0.4574 0.2500 0.1604
0.2222 0.2500 0.0575
0.1917 0.7500 0.9743
0.6021 0.7500 0.0090
0.0440 0.2500 0.1236
0.2538 0.7500 0.1428
0.5426 0.7500 0.8396
0.8567 0.2500 0.1938
0.7778 0.7500 0.9425
0.3979 0.2500 0.9910
0.3689 0.7500 0.9073
0.9858 0.2500 0.9590
0.4263 0.7500 0.0761
0.7462 0.2500 0.8572
0.3434 0.2500 0.8232
0.1647 0.2500 0.8912
0.5737 0.2500 0.9239
0.0142 0.7500 0.0410
0.9560 0.7500 0.8764
0.9166 0.2500 0.7761
0.0834 0.7500 0.2239